Compound: Nd2Dy2Mg
Source: Alexandria via LeMat-Bulk
Functional: PBE-GGA
Structure: optimized geometry

It has space group I4/mmm (No. 139), with a = 3.6354 Å, b = 3.6354 Å, c = 23.8502 Å, α = 90.00°, β = 90.00° and γ = 90.00°. The asymmetric unit holds Nd at (0.0000, 0.0000, 0.0940), Dy at (0.0000, 0.0000, 0.3015) and Mg at (0.0000, 0.0000, 0.5000).

The calculation puts the total energy at -4.09 eV/atom. For the total magnetic moment, the calculation gives 0.000 μB/f.u. The energy above the lowest structure with this stoichiometry comes out at 0.00 eV/f.u.